HfAg2Pd8 PBE relaxed; ΔE_f = -0.15 eV/atom; DOS(E_F) = 8.49 states/eV/f.u.
1.0
4.316 0.239 -0.161
-0.434 6.368 -2.159
0.229 0.394 6.722
Pd Ag Hf
8 2 1
direct
0.000 0.701 0.964
0.000 0.299 0.036
0.000 0.036 0.299
0.500 0.241 0.759
0.000 0.964 0.701
0.500 0.759 0.241
0.500 0.673 0.673
0.500 0.327 0.327
0.000 0.623 0.377
0.000 0.377 0.623
0.500 0.000 0.000

ScTl2P PBE relaxed; ΔE_f = 0.25 eV/atom; energy relative to the lowest polymorph listed for this composition = 0.697 eV per atom; DOS(E_F) = 3.66 states/eV/f.u.
1.0
0.000 3.623 3.623
3.623 0.000 3.623
3.623 3.623 0.000
Sc Tl P
1 2 1
direct
0.500 0.500 0.500
0.750 0.750 0.750
0.250 0.250 0.250
0.000 0.000 0.000

Pm8SmY4 PBE relaxed; ΔE_f = 0.49 eV/atom; DOS(E_F) = 21.99 states/eV/f.u.
1.0
9.898 -0.001 -5.340
-6.389 9.256 -0.001
-2.437 -1.682 7.327
Pm Sm Y
8 1 4
direct
0.475 0.238 0.230
0.992 0.755 0.230
0.008 0.762 0.770
0.525 0.762 0.770
0.522 0.761 0.283
0.992 0.238 0.230
0.478 0.239 0.717
0.008 0.245 0.770
0.000 0.500 0.500
0.500 0.000 0.000
0.500 0.500 0.000
0.000 0.000 0.000
0.000 0.500 0.000

ErMn3I9 PBE relaxed; formation energy without anion corrections = -0.6654 eV/atom; DOS(E_F) = 0.00 states/eV/f.u.
1.0
9.584 0.000 4.033
4.364 10.077 3.034
0.327 -0.182 12.627
Mn I Er
6 18 2
direct
0.452 0.747 0.222
0.956 0.056 0.175
0.813 0.556 0.675
0.990 0.946 0.832
0.579 0.247 0.722
0.232 0.446 0.332
0.161 0.682 0.826
0.331 0.182 0.326
0.940 0.292 0.202
0.817 0.081 0.026
0.467 0.247 0.562
0.491 0.493 0.229
0.261 0.902 0.097
0.724 0.747 0.062
0.566 0.792 0.702
0.059 0.586 0.195
0.886 0.435 0.871
0.160 0.086 0.695
0.809 0.935 0.371
0.424 0.792 0.433
0.351 0.292 0.933
0.787 0.993 0.729
0.740 0.402 0.597
0.077 0.581 0.526
0.472 0.999 0.508
0.021 0.499 0.008

ZnCd2Ni PBE relaxed; ΔE_f = 0.06 eV/atom; DOS(E_F) = 1.26 states/eV/f.u.
1.0
-0.822 3.619 -1.376
-4.011 -0.866 0.119
-0.192 1.419 3.848
Cd Ni Zn
2 1 1
direct
0.000 0.500 0.000
0.000 0.000 0.500
0.500 0.000 0.000
0.500 0.500 0.500

Rb8Cd2Cl PBE relaxed; formation energy without anion corrections = -0.3151 eV/atom; DOS(E_F) = 6.05 states/eV/f.u.
1.0
4.953 0.000 -1.245
-0.049 11.134 -0.196
0.549 0.103 12.655
Rb Cd Cl
8 2 1
direct
0.644 0.982 0.287
0.776 0.676 0.552
0.356 0.018 0.713
0.997 0.195 0.994
0.003 0.805 0.006
0.595 0.506 0.191
0.224 0.324 0.448
0.405 0.494 0.809
0.163 0.714 0.326
0.837 0.286 0.674
0.500 0.000 0.000

Dy3Ho2Al2 PBE relaxed; ΔE_f = -0.20 eV/atom; energy relative to the lowest polymorph listed for this composition = 0.000 eV per atom; DOS(E_F) = 3.85 states/eV/f.u.
1.0
5.254 -0.001 0.001
-2.628 4.540 -0.293
0.003 -2.530 7.967
Ho Al Dy
2 2 3
direct
0.082 0.164 0.746
0.918 0.836 0.254
0.783 0.565 0.847
0.217 0.435 0.153
0.500 0.000 0.000
0.347 0.694 0.541
0.653 0.306 0.459